DFT (PBE-GGA) results for crystalline CsNbCd3 at its relaxed geometry.

a = 6.6566 Å, b = 6.6566 Å, c = 6.6566 Å
α = 90.00°, β = 90.00°, γ = 90.00°
Closest atoms and distances in Å follow each position.
Atoms (fractional coordinates):
Cd (0.0000, 0.0000, 0.5000)  2 Cs 3.33
Nb (0.5000, 0.5000, 0.5000)  12 Cd 4.71
Cd (0.5000, 0.0000, 0.0000)  2 Cs 3.33
Cs (0.0000, 0.0000, 0.0000)  6 Cd 3.33
Cd (0.0000, 0.5000, 0.0000)  2 Cs 3.33

Computed properties:
For the offset from the most stable computed form, the calculation gives 5.51 eV/f.u. The space group is No. 221. The formation energy comes out at 1.645 eV/atom. As for the magnetic moment: 4.950 μB per formula unit. The crystal system is cubic.